Entry 1:
Computed, not measured: crystalline AgTeMoF2 at its relaxed geometry at the GGA+U level of DFT.

Unit cell a=4.2008 b=4.2008 c=5.9494 alpha=90.00 beta=90.00 gamma=90.00
Last column: nearest neighbours and their distance in Å.
Fractional coordinates of all 5 atoms:
F: 0.5000 0.0000 0.0000  2 Mo 2.10
Te: 0.0000 0.0000 0.5000  4 Ag 2.97, 2 Mo 2.97
Ag: 0.5000 0.5000 0.5000  4 Te 2.97
F: 0.0000 0.5000 0.0000  2 Mo 2.10
Mo: 0.0000 0.0000 0.0000  4 F 2.10

Values from the calculation:
ΔE to the lowest computed polymorph: 0.00 kcal/mol of atoms

---

Entry 2:
Computed, not measured: crystalline TlAgMoF2 at its relaxed geometry at the GGA+U level of DFT.

Unit cell a=4.4826 b=6.3022 c=4.4826 alpha=90.00 beta=90.00 gamma=90.00
Last column: nearest neighbours and their distance in Å.
Fractional coordinates of all 5 atoms:
Ag: 0.5000 0.5000 0.5000  4 Mo 3.17
Mo: 0.0000 0.5000 0.0000  2 Tl 3.15, 4 Ag 3.17
Tl: 0.0000 0.0000 0.0000  4 F 2.24
F: 0.5000 0.0000 0.0000  2 Tl 2.24
F: 0.0000 0.0000 0.5000  2 Tl 2.24

---

Entry 3:
Computed, not measured: crystalline TlAg2MoF6 at its relaxed geometry at the GGA+U level of DFT.

Unit cell a=6.4731 b=7.9961 c=5.4652 alpha=75.26 beta=123.69 gamma=131.50
Last column: nearest neighbours and their distance in Å.
Fractional coordinates of all 10 atoms:
F: 0.6093 0.9765 0.8290  1 Mo 2.05
Ag: 0.3208 0.6734 0.1091  4 F 2.50-2.64, 1 Ag 2.71
F: 0.3110 0.2649 0.2984  1 Mo 1.98
Ag: 0.6724 0.3222 0.8516  4 F 2.50-2.64, 1 Ag 2.71
F: 0.6820 0.7305 0.6623  1 Mo 1.98
F: 0.3838 0.0191 0.1314  1 Mo 2.05
Mo: 0.9966 0.9978 0.9802  6 F 1.98-2.05
F: 0.8582 0.7859 0.2444  1 Mo 1.98
Tl: 0.9966 0.4978 0.4803  6 F 2.78-3.04, 2 Ag 2.95-2.96
F: 0.1349 0.2096 0.7160  1 Mo 1.98

---

Number 1: calculated total energy -0.1700 hartree per atom, density of states at the Fermi level 0.52 states/eV/cell. Number 2: calculated total energy -0.1259 hartree per atom, density of states at the Fermi level 1.56 states/eV/cell. Number 3: calculated total energy -0.1620 hartree per atom, density of states at the Fermi level 1.50 states/eV/cell.